No. 1
The following is a PBE calculation of a relaxed structure of Ti3GaAs, from Alexandria.

Calculated values
For the formation energy, the calculation gives -0.3664 eV/atom.

```
data_Ti3GaAs
_symmetry_space_group_name_H-M 'C 1 2/m 1'
_symmetry_Int_Tables_number 12
_symmetry_space_group_name_Hall '-C 2y'
_cell_length_a 12.386
_cell_length_b 4.432
_cell_length_c 6.813
_cell_angle_alpha 90.00
_cell_angle_beta 91.34
_cell_angle_gamma 90.00
loop_
_atom_site_label
_atom_site_type_symbol
_atom_site_fract_x
_atom_site_fract_y
_atom_site_fract_z
_atom_site_occupancy
Ti1 Ti 0.042 0.000 0.194 1
Ti2 Ti 0.209 0.000 0.895 1
Ti3 Ti 0.211 0.500 0.629 1
Ga1 Ga 0.093 0.500 0.960 1
As1 As 0.117 0.000 0.553 1
```

No. 2
The following is a PBE calculation of a relaxed structure of Ti2GaAs, from Alexandria.

Calculated values
For the formation energy, the calculation gives 0.3084 eV/atom.

```
data_Ti2GaAs
_symmetry_space_group_name_H-M 'I -4 2 d'
_symmetry_Int_Tables_number 122
_symmetry_space_group_name_Hall 'I -4 2bw'
_cell_length_a 5.489
_cell_length_b 5.489
_cell_length_c 12.874
_cell_angle_alpha 90.00
_cell_angle_beta 90.00
_cell_angle_gamma 90.00
loop_
_atom_site_label
_atom_site_type_symbol
_atom_site_fract_x
_atom_site_fract_y
_atom_site_fract_z
_atom_site_occupancy
Ti1 Ti 0.247 0.250 0.125 1
Ga1 Ga 0.000 0.000 0.500 1
As1 As 0.000 0.000 0.000 1
```

No. 3
The following is a PBE calculation of a relaxed structure of Ti5Ga2As, from Alexandria.

Calculated values
For the formation energy, the calculation gives -0.5397 eV/atom.

```
data_Ti5Ga2As
_symmetry_space_group_name_H-M 'I 4/m c m'
_symmetry_Int_Tables_number 140
_symmetry_space_group_name_Hall '-I 4 2c'
_cell_length_a 6.730
_cell_length_b 6.730
_cell_length_c 11.450
_cell_angle_alpha 90.00
_cell_angle_beta 90.00
_cell_angle_gamma 90.00
loop_
_atom_site_label
_atom_site_type_symbol
_atom_site_fract_x
_atom_site_fract_y
_atom_site_fract_z
_atom_site_occupancy
Ti1 Ti 0.000 0.000 0.000 1
Ti2 Ti 0.160 0.340 0.157 1
Ga1 Ga 0.136 0.364 0.500 1
As1 As 0.000 0.000 0.250 1
```

No. 4
The following is a PBE calculation of a relaxed structure of Ti3GaAs, from Alexandria.

Calculated values
For the formation energy, the calculation gives 0.0721 eV/atom.

```
data_Ti3GaAs
_symmetry_space_group_name_H-M 'P m -3 m'
_symmetry_Int_Tables_number 221
_symmetry_space_group_name_Hall '-P 4 2 3'
_cell_length_a 4.666
_cell_length_b 4.666
_cell_length_c 4.666
_cell_angle_alpha 90.00
_cell_angle_beta 90.00
_cell_angle_gamma 90.00
loop_
_atom_site_label
_atom_site_type_symbol
_atom_site_fract_x
_atom_site_fract_y
_atom_site_fract_z
_atom_site_occupancy
Ti1 Ti 0.000 0.000 0.500 1
Ga1 Ga 0.500 0.500 0.500 1
As1 As 0.000 0.000 0.000 1
```

No. 5
The following is a PBE calculation of a relaxed structure of Ti2GaAs, from Alexandria.

Calculated values
For the formation energy, the calculation gives -0.5452 eV/atom.

```
data_Ti2GaAs
_symmetry_space_group_name_H-M 'R -3 m'
_symmetry_Int_Tables_number 166
_symmetry_space_group_name_Hall '-R 3 2"'
_cell_length_a 3.5962
_cell_length_b 3.5962
_cell_length_c 18.7520
_cell_angle_alpha 90.00
_cell_angle_beta 90.00
_cell_angle_gamma 120.00
loop_
_atom_site_label
_atom_site_type_symbol
_atom_site_fract_x
_atom_site_fract_y
_atom_site_fract_z
_atom_site_occupancy
Ti1 Ti 0.0000 0.0000 0.2469 1
Ga1 Ga 0.0000 0.0000 0.0000 1
As1 As 0.0000 0.0000 0.5000 1
```

No. 6
The following is a PBE calculation of a relaxed structure of Ti2GaAs, from Alexandria.

Calculated values
For the formation energy, the calculation gives -0.3286 eV/atom.

```
data_Ti2GaAs
_symmetry_space_group_name_H-M 'F m -3 m'
_symmetry_Int_Tables_number 225
_symmetry_space_group_name_Hall '-F 4 2 3'
_cell_length_a 6.381
_cell_length_b 6.381
_cell_length_c 6.381
_cell_angle_alpha 90.00
_cell_angle_beta 90.00
_cell_angle_gamma 90.00
loop_
_atom_site_label
_atom_site_type_symbol
_atom_site_fract_x
_atom_site_fract_y
_atom_site_fract_z
_atom_site_occupancy
Ti1 Ti 0.250 0.250 0.250 1
Ga1 Ga 0.000 0.000 0.000 1
As1 As 0.000 0.000 0.500 1
```

No. 7
The following is a PBE calculation of a relaxed structure of Ti2Ga2As, from Alexandria.

Calculated values
For the formation energy, the calculation gives -0.4929 eV/atom.

```
data_Ti2Ga2As
_symmetry_space_group_name_H-M 'P 4/m b m'
_symmetry_Int_Tables_number 127
_symmetry_space_group_name_Hall '-P 4 2ab'
_cell_length_a 6.581
_cell_length_b 6.581
_cell_length_c 4.017
_cell_angle_alpha 90.00
_cell_angle_beta 90.00
_cell_angle_gamma 90.00
loop_
_atom_site_label
_atom_site_type_symbol
_atom_site_fract_x
_atom_site_fract_y
_atom_site_fract_z
_atom_site_occupancy
Ti1 Ti 0.162 0.338 0.000 1
Ga1 Ga 0.144 0.644 0.500 1
As1 As 0.000 0.000 0.000 1
```

No. 8
The following is a PBE calculation of a relaxed structure of TiGa3As, from Alexandria.

Calculated values
For the formation energy, the calculation gives 0.7432 eV/atom.

```
data_TiGa3As
_symmetry_space_group_name_H-M 'P m -3 m'
_symmetry_Int_Tables_number 221
_symmetry_space_group_name_Hall '-P 4 2 3'
_cell_length_a 4.870
_cell_length_b 4.870
_cell_length_c 4.870
_cell_angle_alpha 90.00
_cell_angle_beta 90.00
_cell_angle_gamma 90.00
loop_
_atom_site_label
_atom_site_type_symbol
_atom_site_fract_x
_atom_site_fract_y
_atom_site_fract_z
_atom_site_occupancy
Ti1 Ti 0.000 0.000 0.000 1
Ga1 Ga 0.000 0.500 0.500 1
As1 As 0.500 0.500 0.500 1
```

No. 9
The following is a PBE calculation of a relaxed structure of TiGa3As, from Alexandria.

Calculated values
For the formation energy, the calculation gives 0.6466 eV/atom.

```
data_TiGa3As
_symmetry_space_group_name_H-M 'P m -3 m'
_symmetry_Int_Tables_number 221
_symmetry_space_group_name_Hall '-P 4 2 3'
_cell_length_a 4.979
_cell_length_b 4.979
_cell_length_c 4.979
_cell_angle_alpha 90.00
_cell_angle_beta 90.00
_cell_angle_gamma 90.00
loop_
_atom_site_label
_atom_site_type_symbol
_atom_site_fract_x
_atom_site_fract_y
_atom_site_fract_z
_atom_site_occupancy
Ti1 Ti 0.000 0.000 0.000 1
Ga1 Ga 0.000 0.000 0.500 1
As1 As 0.500 0.500 0.500 1
```

No. 10
The following is a PBE calculation of a relaxed structure of Ti6Ga3As, from Alexandria.

Calculated values
For the formation energy, the calculation gives -0.2744 eV/atom.

```
data_Ti6Ga3As
_symmetry_space_group_name_H-M 'C m c 21'
_symmetry_Int_Tables_number 36
_symmetry_space_group_name_Hall 'C 2c -2'
_cell_length_a 9.714
_cell_length_b 12.284
_cell_length_c 5.736
_cell_angle_alpha 90.00
_cell_angle_beta 90.00
_cell_angle_gamma 90.00
loop_
_atom_site_label
_atom_site_type_symbol
_atom_site_fract_x
_atom_site_fract_y
_atom_site_fract_z
_atom_site_occupancy
Ti1 Ti 0.000 0.025 0.000 1
Ti2 Ti 0.000 0.306 0.067 1
Ti3 Ti 0.146 0.332 0.544 1
Ti4 Ti 0.247 0.052 0.669 1
Ga1 Ga 0.000 0.498 0.836 1
Ga2 Ga 0.139 0.149 0.295 1
As1 As 0.000 0.170 0.707 1
```

No. 11
The following is a PBE calculation of a relaxed structure of Ti6Ga5As, from Alexandria.

Calculated values
For the formation energy, the calculation gives -0.3191 eV/atom.

```
data_Ti6Ga5As
_symmetry_space_group_name_H-M 'C 1 2/m 1'
_symmetry_Int_Tables_number 12
_symmetry_space_group_name_Hall '-C 2y'
_cell_length_a 6.911
_cell_length_b 8.946
_cell_length_c 6.755
_cell_angle_alpha 90.00
_cell_angle_beta 99.40
_cell_angle_gamma 90.00
loop_
_atom_site_label
_atom_site_type_symbol
_atom_site_fract_x
_atom_site_fract_y
_atom_site_fract_z
_atom_site_occupancy
Ti1 Ti 0.232 0.000 0.247 1
Ti2 Ti 0.240 0.164 0.742 1
Ga1 Ga 0.000 0.182 0.000 1
Ga2 Ga 0.000 0.348 0.500 1
Ga3 Ga 0.000 0.500 0.000 1
As1 As 0.000 0.000 0.500 1
```

No. 12
The following is a PBE calculation of a relaxed structure of Ti2GaAs2, from Alexandria.

Calculated values
For the formation energy, the calculation gives -0.5735 eV/atom.

```
data_Ti2GaAs2
_symmetry_space_group_name_H-M 'P 4/m b m'
_symmetry_Int_Tables_number 127
_symmetry_space_group_name_Hall '-P 4 2ab'
_cell_length_a 7.034
_cell_length_b 7.034
_cell_length_c 3.442
_cell_angle_alpha 90.00
_cell_angle_beta 90.00
_cell_angle_gamma 90.00
loop_
_atom_site_label
_atom_site_type_symbol
_atom_site_fract_x
_atom_site_fract_y
_atom_site_fract_z
_atom_site_occupancy
Ti1 Ti 0.149 0.351 0.000 1
Ga1 Ga 0.000 0.000 0.000 1
As1 As 0.149 0.649 0.500 1
```